[1]
The following is a PBE-GGA calculation of a relaxed structure of PrSnPdAu, from OQMD.

Computed properties:
Total magnetic moment = 0.003 μB per formula unit
Energy above the lowest structure with this stoichiometry = 0 meV per atom
Calculated volume = 182 Å³/cell

Geometry as POSCAR:
```
PrSnPdAu
1.0
4.725 0.000 0.000
-2.362 4.092 0.000
0.000 0.000 9.415
Pr Sn Pd Au
2 2 2 2
Direct
0.333 0.667 0.253
0.667 0.333 0.747
0.000 0.000 0.000
0.000 0.000 0.500
0.333 0.667 0.574
0.667 0.333 0.426
0.333 0.667 0.891
0.667 0.333 0.109
```

***

[2]
The following is a PBE-GGA calculation of a relaxed structure of YHoNi2, from OQMD.

Computed properties:
Formation energy = -0.46 eV per atom
Total magnetic moment = 0.001 μB per formula unit
Calculated volume = 79 Å³/cell

Geometry as POSCAR:
```
YHoNi2
1.0
4.159 0.000 0.000
0.000 1.875 5.088
0.000 -1.875 5.088
Y Ho Ni
1 1 2
Direct
0.000 0.000 0.000
0.500 0.720 0.720
0.000 0.287 0.287
0.500 0.429 0.429
```

***

[3]
The following is a PBE-GGA calculation of a relaxed structure of BaBeMoOs, from OQMD.

Computed properties:
Total magnetic moment = 0.347 μB per formula unit
Energy above the lowest structure with this stoichiometry = 358 meV per atom
Calculated volume = 70 Å³/cell

Geometry as POSCAR:
```
BaBeMoOs
1.0
0.000 3.269 3.269
3.269 0.000 3.269
3.269 3.269 0.000
Ba Be Mo Os
1 1 1 1
Direct
0.000 0.000 0.000
0.500 0.500 0.500
0.250 0.250 0.250
0.750 0.750 0.750
```